## CeMg2 (PBE)

Data for a relaxed CeMg2 crystal.

Unit cell a=6.2642 b=6.2642 c=9.2010 alpha=90.00 beta=90.00 gamma=120.00
Closest atoms and distances in Å follow each position.
Space group P6_3/mmc (No. 194)
Symmetry-distinct sites (fractional):
Ce 0.3333 0.6667 0.0988 x4  1 Ce 2.78
Mg 0.0000 0.0000 0.0000 x2  6 Mg 2.97
Mg 0.1735 0.3469 0.7500 x6  6 Mg 2.97-3.26

Properties
magnetic moment = 0.31 μB/atom
crystal system = hexagonal
E_form = 0.010 eV per atom

---

## CeMg2 (PBE)

Data for a relaxed CeMg2 crystal.

Unit cell a=5.7813 b=5.7813 c=5.3703 alpha=90.00 beta=90.00 gamma=120.00
Closest atoms and distances in Å follow each position.
Space group P-62m (No. 189)
Symmetry-distinct sites (fractional):
Ce 0.3333 0.6667 0.0000 x2  9 Mg 3.34, 3 Ce 3.34
Mg 0.0000 0.0000 0.0000 x1  6 Mg 3.24, 6 Ce 3.34
Mg 0.0000 0.6863 0.5000 x3  8 Mg 3.14-3.44, 4 Ce 3.34

Properties
magnetic moment = 0.30 μB/atom
crystal system = hexagonal
E_form = 0.098 eV per atom

---

## Ce2Mg (PBE)

Data for a relaxed Ce2Mg crystal.

Unit cell a=10.6018 b=3.2132 c=9.6307 alpha=90.00 beta=112.54 gamma=90.00
Closest atoms and distances in Å follow each position.
Space group C2/m (No. 12)
Symmetry-distinct sites (fractional):
Ce 0.0192 0.0000 0.2785 x4  5 Ce 2.88-3.21
Ce 0.1868 0.5000 0.6096 x4  5 Ce 2.88-3.21
Mg 0.1583 0.5000 0.0589 x4  5 Mg 3.06-3.21, 4 Ce 3.38-3.41

Properties
magnetic moment = 0.00 μB/atom
crystal system = monoclinic
offset from the most stable computed form = 8.9 meV/atom
E_form = 0.027 eV per atom

---

## CeMg4 (PBE)

Data for a relaxed CeMg4 crystal.

Unit cell a=5.9717 b=5.9717 c=5.9717 alpha=90.00 beta=90.00 gamma=90.00
Closest atoms and distances in Å follow each position.
Space group Pm-3m (No. 221)
Symmetry-distinct sites (fractional):
Ce 0.0000 0.0000 0.0000 x1  6 Mg 2.99
Mg 0.0000 0.0000 0.5000 x3  2 Ce 2.99
Mg 0.5000 0.5000 0.5000 x1  12 Mg 4.22

Properties
magnetic moment = 0.51 μB/atom
crystal system = cubic
offset from the most stable computed form = 1152.6 meV/atom
E_form = 1.183 eV per atom